DFT (PBE-GGA) results for LiY2Ru after structural relaxation.

Results
* Fermi-level density of states: 0.8220 states/eV per atom
* polymorph energy (0 for the lowest one): 214.7 meV/atom
* formation energy: -0.2 eV/f.u.
* theoretical density: 5.186 g cm⁻³

Geometry as CIF:
```
data_LiY2Ru
_cell_length_a 11.8708
_cell_length_b 3.4683
_cell_length_c 4.8703
_cell_angle_alpha 90.00
_cell_angle_beta 114.11
_cell_angle_gamma 90.00
_space_group_name_H-M_alt 'C 1 m 1'
_space_group_IT_number 8
_space_group_name_Hall 'C -2y'
loop_
_atom_site_label
_atom_site_type_symbol
_atom_site_fract_x
_atom_site_fract_y
_atom_site_fract_z
Li1 Li 0.0000 0.0000 0.0000
Y1 Y 0.1029 0.5000 0.6032
Y2 Y 0.3089 0.5000 0.3083
Ru1 Ru 0.3074 0.0000 0.8065
```